<w>
The following is a GGA-PBE calculation of NiBOsPt after structural relaxation, from OQMD.

```
data_NiBOsPt
_chemical_formula_sum 'Ni4 B4 Os4 Pt4'
_cell_length_a 5.871
_cell_length_b 5.871
_cell_length_c 5.871
_cell_angle_alpha 90.00
_cell_angle_beta 90.00
_cell_angle_gamma 90.00
_symmetry_space_group_name_H-M 'F -4 3 m'
_symmetry_Int_Tables_number 216
_symmetry_space_group_name_Hall 'F -4 2 3'
loop_
_atom_site_label
_atom_site_fract_x
_atom_site_fract_y
_atom_site_fract_z
Ni1 0.000 0.000 0.000
B1 0.250 0.250 0.750
Os1 0.250 0.250 0.250
Pt1 0.000 0.000 0.500
```

---

<x>
The following is a GGA-PBE calculation of NiBOsPt after structural relaxation, from OQMD.

```
data_NiBOsPt
_chemical_formula_sum 'Ni4 B4 Os4 Pt4'
_cell_length_a 5.725
_cell_length_b 5.725
_cell_length_c 5.725
_cell_angle_alpha 90.00
_cell_angle_beta 90.00
_cell_angle_gamma 90.00
_symmetry_space_group_name_H-M 'F -4 3 m'
_symmetry_Int_Tables_number 216
_symmetry_space_group_name_Hall 'F -4 2 3'
loop_
_atom_site_label
_atom_site_fract_x
_atom_site_fract_y
_atom_site_fract_z
Ni1 0.000 0.000 0.000
B1 0.000 0.000 0.500
Os1 0.250 0.250 0.750
Pt1 0.250 0.250 0.250
```

---

Stability check: which of them is least stable? <w>.

---

<w>
The following is a GGA-PBE calculation of ReNiBPd after structural relaxation, from OQMD.

```
data_ReNiBPd
_chemical_formula_sum 'Re4 Ni4 B4 Pd4'
_cell_length_a 5.715
_cell_length_b 5.715
_cell_length_c 5.715
_cell_angle_alpha 90.00
_cell_angle_beta 90.00
_cell_angle_gamma 90.00
_symmetry_space_group_name_H-M 'F -4 3 m'
_symmetry_Int_Tables_number 216
_symmetry_space_group_name_Hall 'F -4 2 3'
loop_
_atom_site_label
_atom_site_fract_x
_atom_site_fract_y
_atom_site_fract_z
Re1 0.000 0.000 0.000
Ni1 0.250 0.250 0.250
B1 0.250 0.250 0.750
Pd1 0.000 0.000 0.500
```

---

<x>
The following is a GGA-PBE calculation of ReNiBPd after structural relaxation, from OQMD.

```
data_ReNiBPd
_chemical_formula_sum 'Re4 Ni4 B4 Pd4'
_cell_length_a 5.829
_cell_length_b 5.829
_cell_length_c 5.829
_cell_angle_alpha 90.00
_cell_angle_beta 90.00
_cell_angle_gamma 90.00
_symmetry_space_group_name_H-M 'F -4 3 m'
_symmetry_Int_Tables_number 216
_symmetry_space_group_name_Hall 'F -4 2 3'
loop_
_atom_site_label
_atom_site_fract_x
_atom_site_fract_y
_atom_site_fract_z
Re1 0.000 0.000 0.000
Ni1 0.250 0.250 0.750
B1 0.000 0.000 0.500
Pd1 0.250 0.250 0.250
```

---

Stability check: which of them is least stable? <x>.

---

<w>
The following is a GGA-PBE calculation of TcNiBPd after structural relaxation, from OQMD.

```
data_TcNiBPd
_chemical_formula_sum 'Tc4 Ni4 B4 Pd4'
_cell_length_a 5.710
_cell_length_b 5.710
_cell_length_c 5.710
_cell_angle_alpha 90.00
_cell_angle_beta 90.00
_cell_angle_gamma 90.00
_symmetry_space_group_name_H-M 'F -4 3 m'
_symmetry_Int_Tables_number 216
_symmetry_space_group_name_Hall 'F -4 2 3'
loop_
_atom_site_label
_atom_site_fract_x
_atom_site_fract_y
_atom_site_fract_z
Tc1 0.000 0.000 0.000
Ni1 0.250 0.250 0.750
B1 0.250 0.250 0.250
Pd1 0.000 0.000 0.500
```

---

<x>
The following is a GGA-PBE calculation of TcNiBPd after structural relaxation, from OQMD.

```
data_TcNiBPd
_chemical_formula_sum 'Tc4 Ni4 B4 Pd4'
_cell_length_a 5.773
_cell_length_b 5.773
_cell_length_c 5.773
_cell_angle_alpha 90.00
_cell_angle_beta 90.00
_cell_angle_gamma 90.00
_symmetry_space_group_name_H-M 'F -4 3 m'
_symmetry_Int_Tables_number 216
_symmetry_space_group_name_Hall 'F -4 2 3'
loop_
_atom_site_label
_atom_site_fract_x
_atom_site_fract_y
_atom_site_fract_z
Tc1 0.000 0.000 0.000
Ni1 0.000 0.000 0.500
B1 0.250 0.250 0.250
Pd1 0.250 0.250 0.750
```

---

Stability check: which of them is least stable? <x>.

---

<w>
The following is a GGA-PBE calculation of NiBPdW after structural relaxation, from OQMD.

```
data_NiBPdW
_chemical_formula_sum 'Ni4 B4 Pd4 W4'
_cell_length_a 5.866
_cell_length_b 5.866
_cell_length_c 5.866
_cell_angle_alpha 90.00
_cell_angle_beta 90.00
_cell_angle_gamma 90.00
_symmetry_space_group_name_H-M 'F -4 3 m'
_symmetry_Int_Tables_number 216
_symmetry_space_group_name_Hall 'F -4 2 3'
loop_
_atom_site_label
_atom_site_fract_x
_atom_site_fract_y
_atom_site_fract_z
Ni1 0.000 0.000 0.000
B1 0.250 0.250 0.750
Pd1 0.000 0.000 0.500
W1 0.250 0.250 0.250
```

---

<x>
The following is a GGA-PBE calculation of NiBPdW after structural relaxation, from OQMD.

```
data_NiBPdW
_chemical_formula_sum 'Ni4 B4 Pd4 W4'
_cell_length_a 5.766
_cell_length_b 5.766
_cell_length_c 5.766
_cell_angle_alpha 90.00
_cell_angle_beta 90.00
_cell_angle_gamma 90.00
_symmetry_space_group_name_H-M 'F -4 3 m'
_symmetry_Int_Tables_number 216
_symmetry_space_group_name_Hall 'F -4 2 3'
loop_
_atom_site_label
_atom_site_fract_x
_atom_site_fract_y
_atom_site_fract_z
Ni1 0.000 0.000 0.000
B1 0.000 0.000 0.500
Pd1 0.250 0.250 0.750
W1 0.250 0.250 0.250
```

---

Stability check: which of them is least stable? <w>.

---

<w>
The following is a GGA-PBE calculation of PmNiB4 after structural relaxation, from OQMD.

```
data_PmNiB4
_chemical_formula_sum 'Pm2 Ni2 B8'
_cell_length_a 3.135
_cell_length_b 5.320
_cell_length_c 7.857
_cell_angle_alpha 90.00
_cell_angle_beta 90.00
_cell_angle_gamma 90.00
_symmetry_space_group_name_H-M 'I m m m'
_symmetry_Int_Tables_number 71
_symmetry_space_group_name_Hall '-I 2 2'
loop_
_atom_site_label
_atom_site_fract_x
_atom_site_fract_y
_atom_site_fract_z
Pm1 0.000 0.000 0.000
Ni1 0.000 0.000 0.500
B1 0.000 0.330 0.252
```

---

<x>
The following is a GGA-PBE calculation of PmNiB4 after structural relaxation, from OQMD.

```
data_PmNiB4
_chemical_formula_sum 'Pm1 Ni1 B4'
_cell_length_a 3.2060
_cell_length_b 3.2060
_cell_length_c 6.6570
_cell_angle_alpha 90.00
_cell_angle_beta 90.00
_cell_angle_gamma 120.00
_symmetry_space_group_name_H-M 'P 6/m m m'
_symmetry_Int_Tables_number 191
_symmetry_space_group_name_Hall '-P 6 2'
loop_
_atom_site_label
_atom_site_fract_x
_atom_site_fract_y
_atom_site_fract_z
Pm1 0.0000 0.0000 0.0000
Ni1 0.0000 0.0000 0.5000
B1 0.3333 0.6667 0.3037
```

---

Stability check: which of them is least stable? <w>.

---

<w>
The following is a GGA-PBE calculation of PrSmNi6B2Pt2 after structural relaxation, from OQMD.

```
data_PrSmNi6B2Pt2
_chemical_formula_sum 'Pr1 Sm1 Ni6 B2 Pt2'
_cell_length_a 5.1721
_cell_length_b 5.1721
_cell_length_c 7.1723
_cell_angle_alpha 90.00
_cell_angle_beta 90.00
_cell_angle_gamma 120.00
_symmetry_space_group_name_H-M 'P 6/m m m'
_symmetry_Int_Tables_number 191
_symmetry_space_group_name_Hall '-P 6 2'
loop_
_atom_site_label
_atom_site_fract_x
_atom_site_fract_y
_atom_site_fract_z
Pr1 0.0000 0.0000 0.0000
Sm1 0.0000 0.0000 0.5000
Ni1 0.0000 0.5000 0.1954
B1 0.3333 0.6667 0.0000
Pt1 0.3333 0.6667 0.5000
```

---

<x>
The following is a GGA-PBE calculation of PrSmNi6B2Pt2 after structural relaxation, from OQMD.

```
data_PrSmNi6B2Pt2
_chemical_formula_sum 'Pr1 Sm1 Ni6 B2 Pt2'
_cell_length_a 5.1736
_cell_length_b 5.1736
_cell_length_c 7.1548
_cell_angle_alpha 90.00
_cell_angle_beta 90.00
_cell_angle_gamma 120.00
_symmetry_space_group_name_H-M 'P 6/m m m'
_symmetry_Int_Tables_number 191
_symmetry_space_group_name_Hall '-P 6 2'
loop_
_atom_site_label
_atom_site_fract_x
_atom_site_fract_y
_atom_site_fract_z
Pr1 0.0000 0.0000 0.0000
Sm1 0.0000 0.0000 0.5000
Ni1 0.0000 0.5000 0.3067
B1 0.3333 0.6667 0.5000
Pt1 0.3333 0.6667 0.0000
```

---

Stability check: which of them is least stable? <w>.